Entry from the Alexandria database: a relaxed structure of TbPu2Np3P6 (GGA-PBE).

## Properties
Raw total energy (eV per atom): -9.80
M_tot (μB per cell): 21.18

a b c (Å): 6.879 6.879 6.938
angles (deg): 99.52 99.52 119.99
Each line ends with the local moment (μB).
Positions (direct):
1 Tb 0.000 0.000 0.000  -0.02
2 Pu 0.333 0.667 0.000  -4.98
3 Pu 0.667 0.333 0.000  -4.98
4 Np 0.165 0.835 0.500  -3.54
5 Np 0.835 0.165 0.500  -3.54
6 Np 0.500 0.500 0.500  -3.53
7 P 0.915 0.578 0.745  0.12
8 P 0.748 0.748 0.254  0.12
9 P 0.085 0.422 0.255  0.12
10 P 0.578 0.915 0.745  0.12
11 P 0.252 0.252 0.746  0.12
12 P 0.422 0.085 0.255  0.12